The following is a DFT calculation (PBE) of a geometry-optimized Tb4Y5Tm2 structure.

abc: 3.548 9.398 11.785
angles: 106.43 81.39 112.20
Element x y z (fractional)
Y: 0.409 0.183 0.548
Y: 0.591 0.817 0.452
Y: 0.046 0.910 0.727
Y: 0.954 0.090 0.273
Y: 0.500 0.000 0.000
Tm: 0.864 0.274 0.820
Tm: 0.136 0.726 0.180
Tb: 0.227 0.546 0.637
Tb: 0.773 0.454 0.363
Tb: 0.320 0.365 0.091
Tb: 0.680 0.635 0.909

Calculated values
density of states at the Fermi level: 15.2 states/eV per cell
energy of formation: 21 meV/atom
total magnetic moment: 0.00 μB/f.u.
offset from the most stable computed form: 0.000 eV/atom

The following is a DFT calculation (PBE) of a geometry-optimized Tb6Y3Tm2 structure.

abc: 4.729 4.729 16.855
angles: 98.06 98.06 90.00
Element x y z (fractional)
Tb: 0.120 0.620 0.239
Tb: 0.694 0.694 0.388
Tb: 0.620 0.120 0.239
Tb: 0.306 0.306 0.612
Tb: 0.380 0.880 0.761
Tb: 0.880 0.380 0.761
Tm: 0.546 0.546 0.092
Tm: 0.454 0.454 0.908
Y: 0.799 0.799 0.597
Y: 0.201 0.201 0.403
Y: 0.000 0.000 0.000

Calculated values
density of states at the Fermi level: 16.7 states/eV per cell
energy of formation: 284 meV/atom
total magnetic moment: 0.00 μB/f.u.
offset from the most stable computed form: 0.264 eV/atom

The following is a DFT calculation (PBE) of a geometry-optimized TbY2Tm3 structure.

abc: 6.105 7.060 9.338
angles: 112.21 89.96 90.00
Element x y z (fractional)
Tm: 0.417 0.958 0.667
Tm: 0.083 0.291 0.333
Tm: 0.250 0.375 0.000
Tm: 0.917 0.709 0.667
Tm: 0.750 0.625 0.000
Tm: 0.583 0.042 0.333
Y: 0.084 0.792 0.333
Y: 0.416 0.459 0.667
Y: 0.916 0.208 0.667
Y: 0.584 0.541 0.333
Tb: 0.750 0.124 0.000
Tb: 0.250 0.876 0.000

Calculated values
density of states at the Fermi level: 18.1 states/eV per cell
energy of formation: 28 meV/atom
total magnetic moment: 0.00 μB/f.u.
offset from the most stable computed form: 0.000 eV/atom